No. 1
A plane-wave DFT calculation with PBE was carried out for CuHgSb2 after structural relaxation.

The structure in CIF format:
```
data_CuHgSb2
_symmetry_space_group_name_H-M 'P m m m'
_symmetry_Int_Tables_number 47
_symmetry_space_group_name_Hall '-P 2 2'
_cell_length_a 4.0216
_cell_length_b 4.2688
_cell_length_c 5.5056
_cell_angle_alpha 90.00
_cell_angle_beta 90.00
_cell_angle_gamma 90.00
loop_
_atom_site_label
_atom_site_fract_x
_atom_site_fract_y
_atom_site_fract_z
Cu1 0.0000 0.0000 0.0000
Hg1 0.5000 0.0000 0.5000
Sb1 0.0000 0.5000 0.5000
Sb2 0.5000 0.5000 0.0000
```

ΔE_f (raw) = 335 meV per atom


No. 2
A plane-wave DFT calculation with PBE was carried out for CuHg2Sb2 after structural relaxation.

The structure in CIF format:
```
data_CuHg2Sb2
_symmetry_space_group_name_H-M 'P 4/m b m'
_symmetry_Int_Tables_number 127
_symmetry_space_group_name_Hall '-P 4 2ab'
_cell_length_a 6.8783
_cell_length_b 6.8783
_cell_length_c 5.9053
_cell_angle_alpha 90.00
_cell_angle_beta 90.00
_cell_angle_gamma 90.00
loop_
_atom_site_label
_atom_site_fract_x
_atom_site_fract_y
_atom_site_fract_z
Cu1 0.0000 0.0000 0.0000
Hg1 0.1655 0.3345 0.5000
Sb1 0.1512 0.3488 0.0000
```

ΔE_f (raw) = 102 meV per atom
relative energy among the computed polymorphs = 0.0 meV/atom


No. 3
A plane-wave DFT calculation with PBE was carried out for CuHgSb2 after structural relaxation.

The structure in CIF format:
```
data_CuHgSb2
_symmetry_space_group_name_H-M 'P 4 m m'
_symmetry_Int_Tables_number 99
_symmetry_space_group_name_Hall 'P 4 -2'
_cell_length_a 3.1736
_cell_length_b 3.1736
_cell_length_c 9.1197
_cell_angle_alpha 90.00
_cell_angle_beta 90.00
_cell_angle_gamma 90.00
loop_
_atom_site_label
_atom_site_fract_x
_atom_site_fract_y
_atom_site_fract_z
Cu1 0.0000 0.0000 0.0000
Hg1 0.5000 0.5000 0.2006
Sb1 0.0000 0.0000 0.4873
Sb2 0.5000 0.5000 0.8060
```

ΔE_f (raw) = 231 meV per atom


No. 4
A plane-wave DFT calculation with PBE was carried out for CuHg2Sb after structural relaxation.

The structure in CIF format:
```
data_CuHg2Sb
_symmetry_space_group_name_H-M 'I m m 2'
_symmetry_Int_Tables_number 44
_symmetry_space_group_name_Hall 'I 2 -2'
_cell_length_a 3.1401
_cell_length_b 4.5920
_cell_length_c 12.7533
_cell_angle_alpha 90.00
_cell_angle_beta 90.00
_cell_angle_gamma 90.00
loop_
_atom_site_label
_atom_site_fract_x
_atom_site_fract_y
_atom_site_fract_z
Cu1 0.0000 0.0000 0.0000
Hg1 0.0000 0.0000 0.5108
Hg2 0.0000 0.5000 0.6871
Sb1 0.0000 0.5000 0.3232
```

ΔE_f (raw) = 154 meV per atom


No. 5
A plane-wave DFT calculation with PBE was carried out for CuHgSb2 after structural relaxation.

The structure in CIF format:
```
data_CuHgSb2
_symmetry_space_group_name_H-M 'P m m 2'
_symmetry_Int_Tables_number 25
_symmetry_space_group_name_Hall 'P 2 -2'
_cell_length_a 3.1687
_cell_length_b 3.8232
_cell_length_c 7.5742
_cell_angle_alpha 90.00
_cell_angle_beta 90.00
_cell_angle_gamma 90.00
loop_
_atom_site_label
_atom_site_fract_x
_atom_site_fract_y
_atom_site_fract_z
Cu1 0.0000 0.0000 0.0000
Hg1 0.5000 0.5000 0.2320
Sb1 0.0000 0.0000 0.5050
Sb2 0.5000 0.5000 0.8247
```

ΔE_f (raw) = 268 meV per atom


No. 6
A plane-wave DFT calculation with PBE was carried out for Cu4HgSb after structural relaxation.

The structure in CIF format:
```
data_Cu4HgSb
_symmetry_space_group_name_H-M 'F -4 3 m'
_symmetry_Int_Tables_number 216
_symmetry_space_group_name_Hall 'F -4 2 3'
_cell_length_a 7.2248
_cell_length_b 7.2248
_cell_length_c 7.2248
_cell_angle_alpha 90.00
_cell_angle_beta 90.00
_cell_angle_gamma 90.00
loop_
_atom_site_label
_atom_site_fract_x
_atom_site_fract_y
_atom_site_fract_z
Cu1 0.1254 0.1254 0.1254
Hg1 0.0000 0.0000 0.5000
Sb1 0.2500 0.2500 0.7500
```

ΔE_f (raw) = 133 meV per atom


No. 7
A plane-wave DFT calculation with PBE was carried out for CuHgSb2 after structural relaxation.

The structure in CIF format:
```
data_CuHgSb2
_symmetry_space_group_name_H-M 'R -3 m'
_symmetry_Int_Tables_number 166
_symmetry_space_group_name_Hall '-R 3 2"'
_cell_length_a 4.1247
_cell_length_b 4.1247
_cell_length_c 20.8358
_cell_angle_alpha 90.00
_cell_angle_beta 90.00
_cell_angle_gamma 120.00
loop_
_atom_site_label
_atom_site_fract_x
_atom_site_fract_y
_atom_site_fract_z
Cu1 0.0000 0.0000 0.0000
Hg1 0.0000 0.0000 0.5000
Sb1 0.0000 0.0000 0.2766
```

ΔE_f (raw) = 88 meV per atom


No. 8
A plane-wave DFT calculation with PBE was carried out for Cu2Hg2Sb after structural relaxation.

The structure in CIF format:
```
data_Cu2Hg2Sb
_symmetry_space_group_name_H-M 'P 4/m b m'
_symmetry_Int_Tables_number 127
_symmetry_space_group_name_Hall '-P 4 2ab'
_cell_length_a 6.9860
_cell_length_b 6.9860
_cell_length_c 4.0526
_cell_angle_alpha 90.00
_cell_angle_beta 90.00
_cell_angle_gamma 90.00
loop_
_atom_site_label
_atom_site_fract_x
_atom_site_fract_y
_atom_site_fract_z
Cu1 0.1315 0.3685 0.0000
Hg1 0.1594 0.6594 0.5000
Sb1 0.0000 0.0000 0.0000
```

ΔE_f (raw) = 223 meV per atom
relative energy among the computed polymorphs = 3.1 meV/atom


No. 9
A plane-wave DFT calculation with PBE was carried out for Cu2HgSb2 after structural relaxation.

The structure in CIF format:
```
data_Cu2HgSb2
_symmetry_space_group_name_H-M 'P 4/m b m'
_symmetry_Int_Tables_number 127
_symmetry_space_group_name_Hall '-P 4 2ab'
_cell_length_a 8.4602
_cell_length_b 8.4602
_cell_length_c 2.9799
_cell_angle_alpha 90.00
_cell_angle_beta 90.00
_cell_angle_gamma 90.00
loop_
_atom_site_label
_atom_site_fract_x
_atom_site_fract_y
_atom_site_fract_z
Cu1 0.1433 0.3567 0.0000
Hg1 0.0000 0.0000 0.5000
Sb1 0.1512 0.6512 0.5000
```

ΔE_f (raw) = 243 meV per atom
relative energy among the computed polymorphs = 54.1 meV/atom


No. 10
A plane-wave DFT calculation with PBE was carried out for CuHg4Sb after structural relaxation.

The structure in CIF format:
```
data_CuHg4Sb
_symmetry_space_group_name_H-M 'F -4 3 m'
_symmetry_Int_Tables_number 216
_symmetry_space_group_name_Hall 'F -4 2 3'
_cell_length_a 8.4016
_cell_length_b 8.4016
_cell_length_c 8.4016
_cell_angle_alpha 90.00
_cell_angle_beta 90.00
_cell_angle_gamma 90.00
loop_
_atom_site_label
_atom_site_fract_x
_atom_site_fract_y
_atom_site_fract_z
Cu1 0.0000 0.0000 0.0000
Hg1 0.1254 0.1254 0.6254
Sb1 0.2500 0.2500 0.2500
```

ΔE_f (raw) = 471 meV per atom


No. 11
A plane-wave DFT calculation with PBE was carried out for CuHgSb after structural relaxation.

The structure in CIF format:
```
data_CuHgSb
_symmetry_space_group_name_H-M 'P -1'
_symmetry_Int_Tables_number 2
_symmetry_space_group_name_Hall '-P 1'
_cell_length_a 4.4036
_cell_length_b 4.9871
_cell_length_c 6.8554
_cell_angle_alpha 74.36
_cell_angle_beta 74.68
_cell_angle_gamma 89.75
loop_
_atom_site_label
_atom_site_fract_x
_atom_site_fract_y
_atom_site_fract_z
Cu1 0.2490 0.1278 0.0040
Hg1 0.1970 0.7663 0.3975
Sb1 0.3043 0.6847 0.8362
```

ΔE_f (raw) = 75 meV per atom


No. 12
A plane-wave DFT calculation with PBE was carried out for Cu2Hg2Sb after structural relaxation.

The structure in CIF format:
```
data_Cu2Hg2Sb
_symmetry_space_group_name_H-M 'I 4/m m m'
_symmetry_Int_Tables_number 139
_symmetry_space_group_name_Hall '-I 4 2'
_cell_length_a 3.4742
_cell_length_b 3.4742
_cell_length_c 17.3400
_cell_angle_alpha 90.00
_cell_angle_beta 90.00
_cell_angle_gamma 90.00
loop_
_atom_site_label
_atom_site_fract_x
_atom_site_fract_y
_atom_site_fract_z
Cu1 0.0000 0.5000 0.2500
Hg1 0.0000 0.0000 0.1265
Sb1 0.0000 0.0000 0.5000
```

ΔE_f (raw) = 220 meV per atom
relative energy among the computed polymorphs = 0.0 meV/atom


No. 13
A plane-wave DFT calculation with PBE was carried out for CuHgSb2 after structural relaxation.

The structure in CIF format:
```
data_CuHgSb2
_symmetry_space_group_name_H-M 'I -4 m 2'
_symmetry_Int_Tables_number 119
_symmetry_space_group_name_Hall 'I -4 -2'
_cell_length_a 4.2720
_cell_length_b 4.2720
_cell_length_c 10.2108
_cell_angle_alpha 90.00
_cell_angle_beta 90.00
_cell_angle_gamma 90.00
loop_
_atom_site_label
_atom_site_fract_x
_atom_site_fract_y
_atom_site_fract_z
Cu1 0.0000 0.0000 0.0000
Hg1 0.0000 0.5000 0.7500
Sb1 0.0000 0.0000 0.5000
Sb2 0.0000 0.5000 0.2500
```

ΔE_f (raw) = 341 meV per atom


No. 14
A plane-wave DFT calculation with PBE was carried out for CuHgSb2 after structural relaxation.

The structure in CIF format:
```
data_CuHgSb2
_symmetry_space_group_name_H-M 'P 4/m m m'
_symmetry_Int_Tables_number 123
_symmetry_space_group_name_Hall '-P 4 2'
_cell_length_a 4.4189
_cell_length_b 4.4189
_cell_length_c 4.7826
_cell_angle_alpha 90.00
_cell_angle_beta 90.00
_cell_angle_gamma 90.00
loop_
_atom_site_label
_atom_site_fract_x
_atom_site_fract_y
_atom_site_fract_z
Cu1 0.0000 0.0000 0.0000
Hg1 0.5000 0.5000 0.0000
Sb1 0.0000 0.5000 0.5000
```

ΔE_f (raw) = 349 meV per atom


No. 15
A plane-wave DFT calculation with PBE was carried out for CuHg2Sb after structural relaxation.

The structure in CIF format:
```
data_CuHg2Sb
_symmetry_space_group_name_H-M 'C 1 2/m 1'
_symmetry_Int_Tables_number 12
_symmetry_space_group_name_Hall '-C 2y'
_cell_length_a 13.6436
_cell_length_b 3.2743
_cell_length_c 4.3291
_cell_angle_alpha 90.00
_cell_angle_beta 98.31
_cell_angle_gamma 90.00
loop_
_atom_site_label
_atom_site_fract_x
_atom_site_fract_y
_atom_site_fract_z
Cu1 0.0000 0.0000 0.0000
Hg1 0.1900 0.5000 0.2046
Sb1 0.0000 0.5000 0.5000
```

ΔE_f (raw) = 175 meV per atom


No. 16
A plane-wave DFT calculation with PBE was carried out for CuHgSb after structural relaxation.

The structure in CIF format:
```
data_CuHgSb
_symmetry_space_group_name_H-M 'I 4 m m'
_symmetry_Int_Tables_number 107
_symmetry_space_group_name_Hall 'I 4 -2'
_cell_length_a 3.1596
_cell_length_b 3.1596
_cell_length_c 12.9757
_cell_angle_alpha 90.00
_cell_angle_beta 90.00
_cell_angle_gamma 90.00
loop_
_atom_site_label
_atom_site_fract_x
_atom_site_fract_y
_atom_site_fract_z
Cu1 0.0000 0.0000 0.0000
Hg1 0.0000 0.0000 0.3573
Sb1 0.0000 0.0000 0.6357
```

ΔE_f (raw) = 220 meV per atom


No. 17
A plane-wave DFT calculation with PBE was carried out for CuHgSb after structural relaxation.

The structure in CIF format:
```
data_CuHgSb
_symmetry_space_group_name_H-M 'P 3 m 1'
_symmetry_Int_Tables_number 156
_symmetry_space_group_name_Hall 'P 3 -2"'
_cell_length_a 4.3559
_cell_length_b 4.3559
_cell_length_c 8.2382
_cell_angle_alpha 90.00
_cell_angle_beta 90.00
_cell_angle_gamma 120.00
loop_
_atom_site_label
_atom_site_fract_x
_atom_site_fract_y
_atom_site_fract_z
Cu1 0.0000 0.0000 0.0000
Cu2 0.0000 0.0000 0.3088
Hg1 0.0000 0.0000 0.6606
Hg2 0.3333 0.6667 0.8693
Sb1 0.3333 0.6667 0.4334
Sb2 0.6667 0.3333 0.1519
```

ΔE_f (raw) = 104 meV per atom


No. 18
A plane-wave DFT calculation with PBE was carried out for CuHg2Sb after structural relaxation.

The structure in CIF format:
```
data_CuHg2Sb
_symmetry_space_group_name_H-M 'P 4/m m m'
_symmetry_Int_Tables_number 123
_symmetry_space_group_name_Hall '-P 4 2'
_cell_length_a 3.1295
_cell_length_b 3.1295
_cell_length_c 9.0041
_cell_angle_alpha 90.00
_cell_angle_beta 90.00
_cell_angle_gamma 90.00
loop_
_atom_site_label
_atom_site_fract_x
_atom_site_fract_y
_atom_site_fract_z
Cu1 0.0000 0.0000 0.0000
Hg1 0.5000 0.5000 0.1996
Sb1 0.0000 0.0000 0.5000
```

ΔE_f (raw) = 232 meV per atom


No. 19
A plane-wave DFT calculation with PBE was carried out for CuHgSb after structural relaxation.

The structure in CIF format:
```
data_CuHgSb
_symmetry_space_group_name_H-M 'P -1'
_symmetry_Int_Tables_number 2
_symmetry_space_group_name_Hall '-P 1'
_cell_length_a 3.0743
_cell_length_b 6.6098
_cell_length_c 7.2931
_cell_angle_alpha 96.15
_cell_angle_beta 101.54
_cell_angle_gamma 102.72
loop_
_atom_site_label
_atom_site_fract_x
_atom_site_fract_y
_atom_site_fract_z
Cu1 0.2504 0.0958 0.4047
Hg1 0.0103 0.3360 0.6916
Sb1 0.3205 0.7800 0.8627
```

ΔE_f (raw) = 112 meV per atom


No. 20
A plane-wave DFT calculation with PBE was carried out for CuHgSb2 after structural relaxation.

The structure in CIF format:
```
data_CuHgSb2
_symmetry_space_group_name_H-M 'F -4 3 m'
_symmetry_Int_Tables_number 216
_symmetry_space_group_name_Hall 'F -4 2 3'
_cell_length_a 7.2144
_cell_length_b 7.2144
_cell_length_c 7.2144
_cell_angle_alpha 90.00
_cell_angle_beta 90.00
_cell_angle_gamma 90.00
loop_
_atom_site_label
_atom_site_fract_x
_atom_site_fract_y
_atom_site_fract_z
Cu1 0.0000 0.0000 0.0000
Hg1 0.2500 0.2500 0.7500
Sb1 0.0000 0.0000 0.5000
Sb2 0.2500 0.2500 0.2500
```

ΔE_f (raw) = 373 meV per atom


VASP energy (computed, eV per atom): -2.8256, -2.4865, -2.9298, -2.0519, -2.8924, -3.3350, -3.0730, -2.3604, -3.1046, -1.0995, -2.7647, -2.3635, -2.8196, -2.8112, -2.0309, -2.6201, -2.7364, -1.9734, -2.7276, -2.7880